No. 1
# PBE-GGA CaZrAu, optimized geometry
# - energy (eV per atom) = -4.68
# - E above lowest polymorph (eV/atom) = 0.188
# - D(E_F) (states/eV/f.u.) = 3.92
data_CaZrAu
_chemical_formula_sum 'Ca4 Zr4 Au4'
_space_group_name_H-M_alt 'F -4 3 m'
_space_group_IT_number 216
_space_group_name_Hall 'F -4 2 3'
_cell_length_a 6.846
_cell_length_b 6.846
_cell_length_c 6.846
_cell_angle_alpha 90.00
_cell_angle_beta 90.00
_cell_angle_gamma 90.00
loop_
_atom_site_label
_atom_site_type_symbol
_atom_site_fract_x
_atom_site_fract_y
_atom_site_fract_z
_atom_site_occupancy
Ca1 Ca 0.000 0.000 0.000 1
Zr1 Zr 0.000 0.000 0.500 1
Au1 Au 0.250 0.250 0.250 1

=====

No. 2
# PBE-GGA Pm7Au2N2, optimized geometry
# - energy (eV per atom) = -5.73
# - formation energy without anion corrections (eV/atom) = -0.599
# - D(E_F) (states/eV/f.u.) = 10.41
data_Pm7Au2N2
_chemical_formula_sum 'Pm14 Au4 N4'
_space_group_name_H-M_alt 'C 1 2/m 1'
_space_group_IT_number 12
_space_group_name_Hall '-C 2y'
_cell_length_a 11.452
_cell_length_b 7.444
_cell_length_c 6.436
_cell_angle_alpha 90.00
_cell_angle_beta 93.04
_cell_angle_gamma 90.00
loop_
_atom_site_label
_atom_site_type_symbol
_atom_site_fract_x
_atom_site_fract_y
_atom_site_fract_z
_atom_site_occupancy
Pm1 Pm 0.000 0.000 0.000 1
Pm2 Pm 0.068 0.500 0.778 1
Pm3 Pm 0.216 0.272 0.237 1
Au1 Au 0.000 0.185 0.500 1
N1 N 0.228 0.000 0.030 1

=====

No. 3
# PBE-GGA Sr3Th2PaP6, optimized geometry
# - energy (eV per atom) = -6.49
# - D(E_F) (states/eV/f.u.) = 4.62
data_Sr3Th2PaP6
_chemical_formula_sum 'Sr6 Th4 Pa2 P12'
_space_group_name_H-M_alt 'C 1 2/m 1'
_space_group_IT_number 12
_space_group_name_Hall '-C 2y'
_cell_length_a 7.298
_cell_length_b 12.638
_cell_length_c 7.391
_cell_angle_alpha 90.00
_cell_angle_beta 109.24
_cell_angle_gamma 90.00
loop_
_atom_site_label
_atom_site_type_symbol
_atom_site_fract_x
_atom_site_fract_y
_atom_site_fract_z
_atom_site_occupancy
Sr1 Sr 0.000 0.000 0.000 1
Sr2 Sr 0.000 0.332 0.000 1
Th1 Th 0.000 0.166 0.500 1
Pa1 Pa 0.000 0.500 0.500 1
P1 P 0.235 0.339 0.721 1
P2 P 0.248 0.500 0.280 1

=====

No. 4
# PBE-GGA NaInTe2, optimized geometry
# - energy (eV per atom) = -3.15
# - formation energy without anion corrections (eV/atom) = -0.563
# - D(E_F) (states/eV/f.u.) = 0.00
data_NaInTe2
_chemical_formula_sum 'Na1 In1 Te2'
_space_group_name_H-M_alt 'P 1'
_space_group_IT_number 1
_space_group_name_Hall 'P 1'
_cell_length_a 4.567
_cell_length_b 4.568
_cell_length_c 7.526
_cell_angle_alpha 89.83
_cell_angle_beta 89.68
_cell_angle_gamma 89.94
loop_
_atom_site_label
_atom_site_type_symbol
_atom_site_fract_x
_atom_site_fract_y
_atom_site_fract_z
_atom_site_occupancy
Na1 Na 0.000 0.000 0.000 1
In1 In 0.506 0.496 0.500 1
Te1 Te 0.008 0.498 0.274 1
Te2 Te 0.503 0.995 0.726 1

=====

Question: What is the energy in the fourth record?
Answer: -3.15 eV per atom

=====

Question: Which of these has the lowest energy?
Answer: Sr3Th2PaP6

=====

Copy entry 4 word for word.
# PBE-GGA NaInTe2, optimized geometry
# - energy (eV per atom) = -3.15
# - formation energy without anion corrections (eV/atom) = -0.563
# - D(E_F) (states/eV/f.u.) = 0.00
data_NaInTe2
_chemical_formula_sum 'Na1 In1 Te2'
_space_group_name_H-M_alt 'P 1'
_space_group_IT_number 1
_space_group_name_Hall 'P 1'
_cell_length_a 4.567
_cell_length_b 4.568
_cell_length_c 7.526
_cell_angle_alpha 89.83
_cell_angle_beta 89.68
_cell_angle_gamma 89.94
loop_
_atom_site_label
_atom_site_type_symbol
_atom_site_fract_x
_atom_site_fract_y
_atom_site_fract_z
_atom_site_occupancy
Na1 Na 0.000 0.000 0.000 1
In1 In 0.506 0.496 0.500 1
Te1 Te 0.008 0.498 0.274 1
Te2 Te 0.503 0.995 0.726 1